<1>
Below is a relaxed structure of Re2MoIr, with properties calculated at the PBE-GGA level.

Unit cell a=4.8021 b=4.8021 c=4.8021 alpha=131.92 beta=131.92 gamma=70.36
Closest atoms and distances in Å follow each position.
Fractional coordinates of all 4 atoms:
Re  0.0000  0.0000  0.0000  4 Ir 2.77, 4 Mo 2.77, 4 Re 2.77
Re  0.7500  0.2500  0.5000  4 Mo 2.77, 4 Re 2.77, 4 Ir 2.77
Mo  0.2500  0.7500  0.5000  8 Re 2.77, 4 Ir 2.77
Ir  0.5000  0.5000  0.0000  8 Re 2.77, 4 Mo 2.77

Space-group type: No. 119

<2>
Below is a relaxed structure of Re2MoIr, with properties calculated at the PBE-GGA level.

Unit cell a=2.7690 b=2.7690 c=7.8612 alpha=90.00 beta=90.00 gamma=90.00
Closest atoms and distances in Å follow each position.
Fractional coordinates of all 4 atoms:
Re  0.0000  0.0000  0.0000  8 Re 2.72-2.77, 4 Mo 2.82
Re  0.5000  0.5000  0.2399  8 Re 2.72-2.77, 4 Ir 2.78
Mo  0.5000  0.5000  0.7422  4 Mo 2.77, 4 Ir 2.78, 4 Re 2.82
Ir  0.0000  0.0000  0.4906  4 Ir 2.77, 4 Re 2.78, 4 Mo 2.78

Space-group type: No. 99

<3>
Below is a relaxed structure of Re2MoIr, with properties calculated at the PBE-GGA level.

Unit cell a=2.7597 b=3.9119 c=5.5896 alpha=90.00 beta=90.00 gamma=90.00
Closest atoms and distances in Å follow each position.
Fractional coordinates of all 4 atoms:
Re  0.0000  0.0000  0.2451  4 Re 2.74-2.85, 4 Ir 2.76, 4 Mo 2.79
Re  0.0000  0.0000  0.7549  4 Re 2.74-2.85, 4 Ir 2.76, 4 Mo 2.79
Mo  0.5000  0.5000  0.5000  2 Mo 2.76, 8 Re 2.79, 2 Ir 2.79
Ir  0.5000  0.5000  0.0000  8 Re 2.76, 2 Ir 2.76, 2 Mo 2.79

Space-group type: No. 47

Stability, highest: <1>

<1>
Below is a relaxed structure of Re2MoIr, with properties calculated at the PBE-GGA level.

Unit cell a=3.9107 b=3.9107 c=3.9266 alpha=90.00 beta=90.00 gamma=90.00
Closest atoms and distances in Å follow each position.
Fractional coordinates of all 4 atoms:
Re  0.0000  0.5000  0.0000  4 Re 2.77, 4 Mo 2.77, 4 Ir 2.77
Re  0.5000  0.0000  0.0000  4 Re 2.77, 4 Mo 2.77, 4 Ir 2.77
Mo  0.0000  0.0000  0.5000  4 Ir 2.77, 8 Re 2.77
Ir  0.5000  0.5000  0.5000  4 Mo 2.77, 8 Re 2.77

Space-group type: No. 123

<2>
Below is a relaxed structure of Re2MoIr, with properties calculated at the PBE-GGA level.

Unit cell a=9.2401 b=9.2401 c=9.2401 alpha=17.23 beta=17.23 gamma=17.23
Closest atoms and distances in Å follow each position.
Fractional coordinates of all 4 atoms:
Re  0.0000  0.0000  0.0000  9 Re 2.71-2.77, 3 Mo 2.87
Re  0.2532  0.2532  0.2532  9 Re 2.71-2.77, 3 Ir 2.81
Mo  0.7540  0.7540  0.7540  3 Ir 2.73, 6 Mo 2.77, 3 Re 2.87
Ir  0.5018  0.5018  0.5018  3 Mo 2.73, 6 Ir 2.77, 3 Re 2.81

Space-group type: No. 160

<3>
Below is a relaxed structure of Re2MoIr, with properties calculated at the PBE-GGA level.

Unit cell a=4.8237 b=4.8237 c=4.8237 alpha=132.33 beta=132.33 gamma=69.71
Closest atoms and distances in Å follow each position.
Fractional coordinates of all 4 atoms:
Re  0.2500  0.7500  0.5000  4 Re 2.76, 4 Ir 2.78, 4 Mo 2.78
Re  0.7500  0.2500  0.5000  4 Re 2.76, 4 Ir 2.78, 4 Mo 2.78
Mo  0.0000  0.0000  0.0000  4 Ir 2.76, 8 Re 2.78
Ir  0.5000  0.5000  0.0000  4 Mo 2.76, 8 Re 2.78

Space-group type: No. 139

<4>
Below is a relaxed structure of Re2MoIr, with properties calculated at the PBE-GGA level.

Unit cell a=3.2851 b=3.2851 c=5.6954 alpha=90.00 beta=90.00 gamma=90.00
Closest atoms and distances in Å follow each position.
Fractional coordinates of all 4 atoms:
Re  0.0000  0.0000  0.0000  4 Re 2.69, 2 Ir 2.81-2.89, 4 Mo 2.81
Re  0.5000  0.5000  0.2365  4 Re 2.69, 2 Mo 2.77-2.92, 4 Ir 2.79
Mo  0.5000  0.5000  0.7234  4 Ir 2.63, 6 Re 2.77-2.92
Ir  0.0000  0.0000  0.5072  4 Mo 2.63, 6 Re 2.79-2.89

Space-group type: No. 99

Stability, highest: <1>

<1>
Below is a relaxed structure of Re2MoIr, with properties calculated at the PBE-GGA level.

Unit cell a=4.4203 b=4.4203 c=4.4203 alpha=60.00 beta=60.00 gamma=60.00
Closest atoms and distances in Å follow each position.
Fractional coordinates of all 4 atoms:
Re  0.2500  0.2500  0.2500  4 Ir 2.71, 4 Mo 2.71
Re  0.7500  0.7500  0.7500  4 Mo 2.71, 4 Ir 2.71
Mo  0.0000  0.0000  0.0000  8 Re 2.71
Ir  0.5000  0.5000  0.5000  8 Re 2.71

Space-group type: No. 225

<2>
Below is a relaxed structure of Re2MoIr, with properties calculated at the PBE-GGA level.

Unit cell a=2.7466 b=2.7466 c=8.0066 alpha=90.00 beta=90.00 gamma=90.00
Closest atoms and distances in Å follow each position.
Fractional coordinates of all 4 atoms:
Re  0.0000  0.0000  0.2444  4 Re 2.75, 4 Ir 2.76, 4 Mo 2.82
Re  0.0000  0.0000  0.7556  4 Re 2.75, 4 Ir 2.76, 4 Mo 2.82
Mo  0.5000  0.5000  0.5000  4 Mo 2.75, 8 Re 2.82
Ir  0.5000  0.5000  0.0000  4 Ir 2.75, 8 Re 2.76

Space-group type: No. 123

Stability, highest: <2>